The following is a DFT calculation (GGA-PBE) of an optimized crystal structure of Cs2PaF4.

Unit cell a=4.684 b=4.684 c=12.114 alpha=78.85 beta=78.85 gamma=90.00
Site moments in Bohr magnetons follow the coordinates.
Fractional coordinates of all 7 atoms:
Cs 0.656 0.656 0.689  0.00
Cs 0.344 0.344 0.311  0.00
F 0.500 0.000 0.000  -0.01
Pa 0.000 0.000 0.000  1.56
F 0.095 0.095 0.811  -0.02
F 0.000 0.500 0.000  -0.01
F 0.905 0.905 0.189  -0.02

## Properties
Crystal system: tetragonal
ΔE_f (raw), eV per atom: -2.6959
Calculated density, g cm⁻³: 3.7
N(E_F), states/eV/atom: 0.868
VASP energy, eV per cell: -37.6



The following is a DFT calculation (GGA-PBE) of an optimized crystal structure of MnSi2Ru.

Unit cell a=3.043 b=3.043 c=5.364 alpha=90.00 beta=90.00 gamma=90.00
Fractional coordinates of all 4 atoms:
Ru 0.500 0.500 0.787
Si 0.500 0.500 0.270
Si 0.000 0.000 0.000
Mn 0.000 0.000 0.443

## Properties
Crystal system: tetragonal
ΔE_f (raw), eV per atom: -0.3670
Calculated density, g cm⁻³: 7.1
N(E_F), states/eV/atom: 0.737
VASP energy, eV per cell: -30.8



The following is a DFT calculation (GGA-PBE) of an optimized crystal structure of TbSmAlCd.

Unit cell a=3.663 b=3.663 c=7.668 alpha=90.00 beta=90.00 gamma=90.00
Fractional coordinates of all 4 atoms:
Sm 0.500 0.500 0.120
Cd 0.000 0.000 0.849
Tb 0.500 0.500 0.596
Al 0.000 0.000 0.363

## Properties
Crystal system: tetragonal
Calculated density, g cm⁻³: 7.2
ΔE to the lowest computed polymorph, eV/atom: 0.000
N(E_F), states/eV/atom: 0.651
E_form, eV per atom: -0.36
VASP energy, eV per cell: -15.4



The following is a DFT calculation (GGA-PBE) of an optimized crystal structure of MnFeOs2.

Unit cell a=4.227 b=4.227 c=2.975 alpha=90.00 beta=90.00 gamma=90.00
Site moments in Bohr magnetons follow the coordinates.
Fractional coordinates of all 4 atoms:
Fe 0.500 0.000 0.500  2.48
Os 0.500 0.500 0.000  0.18
Mn 0.000 0.500 0.500  2.92
Os 0.000 0.000 0.000  0.18

## Properties
Crystal system: tetragonal
Calculated density, g cm⁻³: 15.3
N(E_F), states/eV/atom: 0.703
E_form, eV per atom: 0.17
VASP energy, eV per cell: -39.4



The following is a DFT calculation (GGA-PBE) of an optimized crystal structure of TlPd2Ru.

Unit cell a=3.921 b=3.921 c=9.942 alpha=78.63 beta=78.63 gamma=90.00
Site moments in Bohr magnetons follow the coordinates.
Fractional coordinates of all 8 atoms:
Tl 0.750 0.250 0.500  -0.02
Pd 0.875 0.864 0.750  0.15
Pd 0.136 0.625 0.250  0.14
Pd 0.375 0.386 0.750  0.15
Tl 0.000 0.000 0.000  -0.02
Ru 0.500 0.500 0.000  1.12
Pd 0.614 0.125 0.250  0.14
Ru 0.250 0.750 0.500  1.12

## Properties
Crystal system: tetragonal
Calculated density, g cm⁻³: 11.7
ΔE to the lowest computed polymorph, eV/atom: 0.228
N(E_F), states/eV/atom: 1.230
E_form, eV per atom: 0.51
VASP energy, eV per cell: -40.0



The following is a DFT calculation (GGA-PBE) of an optimized crystal structure of Li7Ga12Pd.

Unit cell a=8.563 b=8.563 c=8.563 alpha=109.47 beta=109.47 gamma=109.47
Fractional coordinates of all 20 atoms:
Ga 0.139 0.232 0.371
Li 0.500 0.500 0.500
Ga 0.092 0.861 0.232
Ga 0.908 0.139 0.768
Ga 0.629 0.861 0.768
Li 0.500 0.000 0.500
Ga 0.768 0.908 0.139
Li 0.500 0.500 0.000
Li 0.000 0.000 0.500
Ga 0.232 0.092 0.861
Ga 0.861 0.768 0.629
Li 0.500 0.000 0.000
Li 0.000 0.500 0.000
Pd 0.000 0.000 0.000
Ga 0.768 0.629 0.861
Ga 0.139 0.768 0.908
Li 0.000 0.500 0.500
Ga 0.232 0.371 0.139
Ga 0.861 0.232 0.092
Ga 0.371 0.139 0.232

## Properties
Crystal system: cubic
Calculated density, g cm⁻³: 3.4
N(E_F), states/eV/atom: 0.414
E_form, eV per atom: -0.03
VASP energy, eV per cell: -55.6



The following is a DFT calculation (GGA-PBE) of an optimized crystal structure of MgZr2Ir.

Unit cell a=10.043 b=10.043 c=10.043 alpha=17.58 beta=17.58 gamma=17.58
Fractional coordinates of all 4 atoms:
Ir 0.250 0.250 0.250
Zr 0.992 0.992 0.992
Zr 0.508 0.508 0.508
Mg 0.750 0.750 0.750

## Properties
Crystal system: trigonal
Calculated density, g cm⁻³: 8.2
N(E_F), states/eV/atom: 0.959
E_form, eV per atom: -0.12
VASP energy, eV per cell: -28.0



The following is a DFT calculation (GGA-PBE) of an optimized crystal structure of AcSbS.

Unit cell a=4.954 b=10.228 c=8.303 alpha=87.98 beta=90.00 gamma=90.00
Fractional coordinates of all 12 atoms:
S 0.750 0.634 0.963
Sb 0.250 0.829 0.496
Ac 0.750 0.366 0.847
Sb 0.250 0.559 0.584
S 0.250 0.884 0.986
S 0.250 0.366 0.037
S 0.750 0.116 0.014
Sb 0.750 0.441 0.416
Sb 0.750 0.171 0.504
Ac 0.250 0.103 0.201
Ac 0.750 0.897 0.799
Ac 0.250 0.634 0.153

## Properties
Crystal system: monoclinic
ΔE_f (raw), eV per atom: -1.3742
Calculated density, g cm⁻³: 6.0
ΔE to the lowest computed polymorph, eV/atom: 0.204
N(E_F), states/eV/atom: 0.269
VASP energy, eV per cell: -65.9



The following is a DFT calculation (GGA-PBE) of an optimized crystal structure of FeSnH.

Unit cell a=3.088 b=5.020 c=5.423 alpha=73.41 beta=90.00 gamma=107.91
Site moments in Bohr magnetons follow the coordinates.
Fractional coordinates of all 6 atoms:
Sn 0.877 0.754 0.283  -0.08
H 0.404 0.809 0.752  -0.02
H 0.596 0.191 0.248  -0.02
Fe 0.831 0.662 0.813  1.68
Fe 0.169 0.338 0.187  1.68
Sn 0.123 0.246 0.717  -0.08

## Properties
Crystal system: monoclinic
Calculated density, g cm⁻³: 7.6
N(E_F), states/eV/atom: 0.673
VASP energy, eV per cell: -30.6



The following is a DFT calculation (GGA-PBE) of an optimized crystal structure of CaTePt2.

Unit cell a=4.593 b=4.191 c=5.040 alpha=80.38 beta=90.00 gamma=90.00
Fractional coordinates of all 4 atoms:
Ca 0.500 0.756 0.822
Pt 0.000 0.180 0.962
Pt 0.500 0.194 0.264
Te 0.000 0.370 0.452

## Properties
Crystal system: monoclinic
ΔE_f (raw), eV per atom: -0.6596
Calculated density, g cm⁻³: 9.7
N(E_F), states/eV/atom: 0.222
VASP energy, eV per cell: -19.9



The following is a DFT calculation (GGA-PBE) of an optimized crystal structure of LaCuTe2I.

Unit cell a=6.197 b=6.197 c=6.197 alpha=90.00 beta=90.00 gamma=90.00
Fractional coordinates of all 5 atoms:
Te 0.500 0.000 0.000
I 0.000 0.000 0.500
Cu 0.500 0.500 0.500
Te 0.000 0.500 0.000
La 0.000 0.000 0.000

## Properties
Crystal system: tetragonal
ΔE_f (raw), eV per atom: 0.0267
Calculated density, g cm⁻³: 4.1
ΔE to the lowest computed polymorph, eV/atom: 0.549
N(E_F), states/eV/atom: 1.703
VASP energy, eV per cell: -16.7



The following is a DFT calculation (GGA-PBE) of an optimized crystal structure of Li2CuGeH.

Unit cell a=3.939 b=3.939 c=3.631 alpha=90.00 beta=90.00 gamma=90.00
Fractional coordinates of all 5 atoms:
H 0.000 0.000 0.000
Li 0.000 0.500 0.000
Li 0.500 0.000 0.000
Ge 0.500 0.500 0.500
Cu 0.000 0.000 0.500

## Properties
Crystal system: tetragonal
Calculated density, g cm⁻³: 4.5
ΔE to the lowest computed polymorph, eV/atom: 0.000
N(E_F), states/eV/atom: 0.302
VASP energy, eV per cell: -16.8



The following is a DFT calculation (GGA-PBE) of an optimized crystal structure of Hf2IrAu.

Unit cell a=7.473 b=7.473 c=6.017 alpha=51.62 beta=51.62 gamma=90.00
Fractional coordinates of all 8 atoms:
Ir 0.250 0.750 0.500
Hf 0.598 0.125 0.250
Au 0.000 0.000 0.000
Au 0.750 0.250 0.500
Ir 0.500 0.500 0.000
Hf 0.375 0.402 0.750
Hf 0.152 0.625 0.250
Hf 0.875 0.848 0.750

## Properties
Crystal system: tetragonal
Calculated density, g cm⁻³: 15.4
N(E_F), states/eV/atom: 0.355
E_form, eV per atom: -0.22
VASP energy, eV per cell: -65.9



The following is a DFT calculation (GGA-PBE) of an optimized crystal structure of Ac4PmPa3N8.

Unit cell a=7.294 b=7.501 c=7.294 alpha=119.09 beta=120.00 gamma=90.00
Fractional coordinates of all 16 atoms:
N 0.242 0.694 0.484
N 0.242 0.694 0.952
N 0.710 0.694 0.952
Pa 0.000 0.500 0.500
Pa 0.500 0.500 0.000
Ac 0.500 0.000 0.000
Ac 0.000 0.000 0.000
Ac 0.500 0.000 0.500
Pa 0.500 0.500 0.500
N 0.270 0.311 0.541
N 0.758 0.306 0.516
N 0.730 0.689 0.459
Ac 0.000 0.000 0.500
N 0.290 0.306 0.048
N 0.758 0.306 0.048
Pm 0.000 0.500 0.000

## Properties
Crystal system: trigonal
ΔE_f (raw), eV per atom: -1.4052
Calculated density, g cm⁻³: 10.8
N(E_F), states/eV/atom: 0.451
VASP energy, eV per cell: -138.8